# 1
VASP calculation (PBE-GGA) on ErBiSeO2 after structural relaxation.

POSCAR file:
```
ErBiSeO2
1.0
6.524 0.000 0.000
0.000 4.013 0.000
-2.047 0.000 7.419
Er Bi Se O
2 2 2 4
Direct
0.179 0.250 0.423
0.821 0.750 0.577
0.193 0.250 0.910
0.807 0.750 0.090
0.446 0.750 0.712
0.554 0.250 0.288
0.002 0.750 0.875
0.022 0.750 0.378
0.978 0.250 0.622
0.998 0.250 0.125
```

Its spin magnetization is 0.000 μB per cell. The volume comes out at 19.43 Å³/atom. For the formation energy (no corrections), the calculation gives -2.05 eV/atom. Its symmetry is No. 11. The calculation puts the density of states at the Fermi level at 0.000 states/eV per atom.

---

# 2
VASP calculation (PBE-GGA) on Dy5C2S2 after structural relaxation.

POSCAR file:
```
Dy5C2S2
1.0
6.815 -3.534 0.000
6.815 3.534 0.000
0.000 0.000 7.114
Dy C S
10 4 4
Direct
0.000 0.000 0.000
0.034 0.720 0.655
0.220 0.534 0.155
0.280 0.966 0.655
0.466 0.780 0.155
0.500 0.500 0.500
0.534 0.220 0.845
0.720 0.034 0.345
0.780 0.466 0.845
0.966 0.280 0.345
0.168 0.832 0.339
0.332 0.668 0.839
0.668 0.332 0.161
0.832 0.168 0.661
0.200 0.200 0.000
0.300 0.300 0.500
0.700 0.700 0.500
0.800 0.800 0.000
```

Its spin magnetization is 0.000 μB per cell. The volume comes out at 19.04 Å³/atom. For the formation energy (no corrections), the calculation gives -0.81 eV/atom. Its symmetry is No. 64. The calculation puts the density of states at the Fermi level at 0.521 states/eV per atom.

---

# 3
VASP calculation (PBE-GGA) on NaLa2VTe after structural relaxation.

POSCAR file:
```
NaLa2VTe
1.0
5.336 0.000 0.000
0.000 5.336 0.000
0.000 0.000 5.397
Na La V Te
1 2 1 1
Direct
0.000 0.000 0.000
0.000 0.500 0.500
0.500 0.000 0.500
0.000 0.000 0.500
0.500 0.500 0.000
```

Its spin magnetization is 2.375 μB per cell. The volume comes out at 30.73 Å³/atom. For the formation energy (no corrections), the calculation gives 0.16 eV/atom. Its symmetry is No. 123. The calculation puts the density of states at the Fermi level at 0.928 states/eV per atom.

---

# 4
VASP calculation (PBE-GGA) on Ac3Cu3Pd after structural relaxation.

POSCAR file:
```
Ac3Cu3Pd
1.0
-2.094 2.241 9.877
2.094 -2.241 9.877
2.094 2.241 -9.877
Ac Cu Pd
3 3 1
Direct
0.000 0.000 0.000
0.360 0.360 0.000
0.683 0.183 0.500
0.114 0.614 0.500
0.549 0.549 0.000
0.821 0.821 0.000
0.245 0.745 0.500
```

Its spin magnetization is 0.000 μB per cell. The value obtained for the calculated formation energy is -0.33 eV/atom. The volume comes out at 26.49 Å³/atom. Its symmetry is No. 44. The calculation puts the density of states at the Fermi level at 0.754 states/eV per atom.

---

# 5
VASP calculation (PBE-GGA) on Na2Mn4Si after structural relaxation.

POSCAR file:
```
Na2Mn4Si
1.0
-2.295 2.295 7.560
2.295 -2.295 7.560
2.295 2.295 -7.560
Na Mn Si
2 4 1
Direct
0.142 0.142 0.000
0.858 0.858 0.000
0.000 0.500 0.500
0.345 0.345 0.000
0.500 0.000 0.500
0.655 0.655 0.000
0.500 0.500 0.000
```

Its spin magnetization is 15.419 μB per cell. The volume comes out at 22.76 Å³/atom. For the formation energy (no corrections), the calculation gives 0.83 eV/atom. Its symmetry is No. 139. The calculation puts the density of states at the Fermi level at 0.896 states/eV per atom.

---

# 6
VASP calculation (PBE-GGA) on BeGaFe2C after structural relaxation.

POSCAR file:
```
BeGaFe2C
1.0
3.781 0.000 0.000
0.000 3.781 0.000
0.000 0.000 3.482
Be Ga Fe C
1 1 2 1
Direct
0.000 0.000 0.000
0.500 0.500 0.000
0.000 0.500 0.500
0.500 0.000 0.500
0.000 0.000 0.500
```

Its spin magnetization is 0.000 μB per cell. The value obtained for the calculated formation energy is -0.02 eV/atom. The volume comes out at 9.95 Å³/atom. Its symmetry is No. 123. The calculation puts the density of states at the Fermi level at 0.546 states/eV per atom.

---

# 7
VASP calculation (PBE-GGA) on Hf3Mg2Zr3 after structural relaxation.

POSCAR file:
```
Hf3Mg2Zr3
1.0
-1.631 2.583 10.697
1.631 -2.583 10.697
1.631 2.583 -10.697
Hf Mg Zr
3 2 3
Direct
0.000 0.000 0.000
0.379 0.879 0.500
0.621 0.121 0.500
0.252 0.252 0.000
0.748 0.748 0.000
0.124 0.624 0.500
0.500 0.500 0.000
0.876 0.376 0.500
```

Its spin magnetization is 0.000 μB per cell. The value obtained for the calculated formation energy is 0.11 eV/atom. The volume comes out at 22.53 Å³/atom. Its symmetry is No. 71. The calculation puts the density of states at the Fermi level at 1.336 states/eV per atom.

---

# 8
VASP calculation (PBE-GGA) on Re2RuSe after structural relaxation.

POSCAR file:
```
Re2RuSe
1.0
4.899 -1.471 0.000
4.899 1.471 0.000
-0.146 0.000 4.336
Re Ru Se
2 1 1
Direct
0.217 0.217 0.227
0.783 0.783 0.773
0.500 0.500 0.000
0.000 0.000 0.500
```

Its spin magnetization is 0.000 μB per cell. The volume comes out at 15.62 Å³/atom. For the formation energy (no corrections), the calculation gives 0.36 eV/atom. Its symmetry is No. 12. The calculation puts the density of states at the Fermi level at 0.590 states/eV per atom. For the offset from the most stable computed form, the calculation gives 0.112 eV/atom.

---

# 9
VASP calculation (PBE-GGA) on HgPW2 after structural relaxation.

POSCAR file:
```
HgPW2
1.0
3.139 0.000 0.000
0.000 3.139 0.000
0.000 0.000 7.048
Hg P W
1 1 2
Direct
0.000 0.000 0.000
0.500 0.500 0.318
0.000 0.000 0.471
0.500 0.500 0.708
```

Its spin magnetization is 0.000 μB per cell. The value obtained for the calculated formation energy is 0.32 eV/atom. The volume comes out at 17.36 Å³/atom. Its symmetry is No. 99. The calculation puts the density of states at the Fermi level at 1.017 states/eV per atom. For the offset from the most stable computed form, the calculation gives 0.018 eV/atom.

---

# 10
VASP calculation (PBE-GGA) on RbTa2NiN after structural relaxation.

POSCAR file:
```
RbTa2NiN
1.0
4.559 0.000 0.000
0.000 4.559 0.000
0.000 0.000 5.926
Rb Ta Ni N
1 2 1 1
Direct
0.000 0.000 0.000
0.000 0.500 0.500
0.500 0.000 0.500
0.000 0.000 0.500
0.500 0.500 0.000
```

Its spin magnetization is 0.000 μB per cell. The volume comes out at 24.64 Å³/atom. For the formation energy (no corrections), the calculation gives 2.24 eV/atom. Its symmetry is No. 123. The calculation puts the density of states at the Fermi level at 1.252 states/eV per atom.

---

# 11
VASP calculation (PBE-GGA) on HfThB12 after structural relaxation.

POSCAR file:
```
HfThB12
1.0
4.082 0.000 0.000
0.000 4.082 0.000
0.000 0.000 8.128
Hf Th B
1 1 12
Direct
0.000 0.000 0.000
0.000 0.000 0.500
0.197 0.500 0.246
0.197 0.500 0.754
0.500 0.197 0.246
0.500 0.197 0.754
0.500 0.500 0.097
0.500 0.500 0.400
0.500 0.500 0.600
0.500 0.500 0.903
0.500 0.803 0.246
0.500 0.803 0.754
0.803 0.500 0.246
0.803 0.500 0.754
```

Its spin magnetization is 0.000 μB per cell. The value obtained for the calculated formation energy is -0.18 eV/atom. The volume comes out at 9.67 Å³/atom. Its symmetry is No. 123. The calculation puts the density of states at the Fermi level at 0.304 states/eV per atom.

---

# 12
VASP calculation (PBE-GGA) on Rb2HgMoSe4 after structural relaxation.

POSCAR file:
```
Rb2HgMoSe4
1.0
0.000 6.374 12.276
3.893 0.000 12.276
3.893 6.374 0.000
Rb Hg Mo Se
4 2 2 8
Direct
0.057 0.057 0.693
0.307 0.307 0.943
0.693 0.693 0.057
0.943 0.943 0.307
0.125 0.125 0.125
0.875 0.875 0.875
0.375 0.375 0.375
0.625 0.625 0.625
0.035 0.607 0.512
0.346 0.512 0.607
0.393 0.965 0.654
0.488 0.654 0.965
0.512 0.346 0.035
0.607 0.035 0.346
0.654 0.488 0.393
0.965 0.393 0.488
```

Its spin magnetization is 0.000 μB per cell. The volume comes out at 38.08 Å³/atom. For the formation energy (no corrections), the calculation gives -0.65 eV/atom. Its symmetry is No. 70.

---

# 13
VASP calculation (PBE-GGA) on MgAgPt4 after structural relaxation.

POSCAR file:
```
MgAgPt4
1.0
0.000 3.748 3.748
3.748 0.000 3.748
3.748 3.748 0.000
Mg Ag Pt
1 1 4
Direct
0.000 0.000 0.000
0.250 0.250 0.250
0.125 0.625 0.625
0.625 0.125 0.625
0.625 0.625 0.125
0.625 0.625 0.625
```

Its spin magnetization is 0.000 μB per cell. The value obtained for the calculated formation energy is -0.30 eV/atom. The volume comes out at 17.55 Å³/atom. Its symmetry is No. 216. The calculation puts the density of states at the Fermi level at 0.582 states/eV per atom.

---

# 14
VASP calculation (PBE-GGA) on Tl3In2S4 after structural relaxation.

POSCAR file:
```
Tl3In2S4
1.0
7.797 -5.640 0.000
7.797 5.640 0.000
-1.041 0.000 6.471
Tl In S
6 4 8
Direct
0.040 0.960 0.750
0.201 0.627 0.037
0.373 0.799 0.463
0.627 0.201 0.537
0.799 0.373 0.963
0.960 0.040 0.250
0.124 0.348 0.584
0.348 0.124 0.084
0.652 0.876 0.916
0.876 0.652 0.416
0.129 0.318 0.960
0.141 0.601 0.557
0.318 0.129 0.460
0.399 0.859 0.943
0.601 0.141 0.057
0.682 0.871 0.540
0.859 0.399 0.443
0.871 0.682 0.040
```

Its spin magnetization is 0.000 μB per cell. The volume comes out at 31.62 Å³/atom. For the formation energy (no corrections), the calculation gives -0.40 eV/atom. Its symmetry is No. 15. The calculation puts the density of states at the Fermi level at 0.184 states/eV per atom. For the offset from the most stable computed form, the calculation gives 0.000 eV/atom.

---

# 15
VASP calculation (PBE-GGA) on Pm5Pr2Nd4 after structural relaxation.

POSCAR file:
```
Pm5Pr2Nd4
1.0
12.274 -1.761 0.000
12.274 1.761 0.000
-1.042 0.000 8.955
Pm Pr Nd
5 2 4
Direct
0.000 0.000 0.000
0.268 0.268 0.174
0.359 0.359 0.884
0.641 0.641 0.116
0.732 0.732 0.826
0.410 0.410 0.266
0.590 0.590 0.734
0.179 0.179 0.471
0.454 0.454 0.639
0.546 0.546 0.361
0.821 0.821 0.529
```

Its spin magnetization is 0.000 μB per cell. The value obtained for the calculated formation energy is 0.13 eV/atom. The volume comes out at 35.19 Å³/atom. Its symmetry is No. 12. The calculation puts the density of states at the Fermi level at 1.700 states/eV per atom. For the offset from the most stable computed form, the calculation gives 0.000 eV/atom.

---

# 16
VASP calculation (PBE-GGA) on AsPAu2 after structural relaxation.

POSCAR file:
```
AsPAu2
1.0
3.750 0.000 0.000
0.000 3.750 0.000
0.000 0.000 5.394
As P Au
1 1 2
Direct
0.000 0.000 0.000
0.500 0.500 0.500
0.000 0.000 0.500
0.500 0.500 0.000
```

Its spin magnetization is 0.000 μB per cell. The value obtained for the calculated formation energy is 0.21 eV/atom. The volume comes out at 18.96 Å³/atom. Its symmetry is No. 123. The calculation puts the density of states at the Fermi level at 0.521 states/eV per atom. For the offset from the most stable computed form, the calculation gives 0.085 eV/atom.

---

# 17
VASP calculation (PBE-GGA) on KCu6Br8 after structural relaxation.

POSCAR file:
```
KCu6Br8
1.0
5.369 3.100 3.755
-5.369 3.100 3.755
0.000 -6.199 3.755
K Cu Br
1 6 8
Direct
0.000 0.000 0.000
0.244 0.647 0.361
0.353 0.639 0.756
0.361 0.244 0.647
0.639 0.756 0.353
0.647 0.361 0.244
0.756 0.353 0.639
0.105 0.396 0.786
0.214 0.895 0.604
0.326 0.326 0.326
0.396 0.786 0.105
0.604 0.214 0.895
0.674 0.674 0.674
0.786 0.105 0.396
0.895 0.604 0.214
```

Its spin magnetization is 0.000 μB per cell. The volume comes out at 24.99 Å³/atom. For the formation energy (no corrections), the calculation gives -0.46 eV/atom. Its symmetry is No. 148. The calculation puts the density of states at the Fermi level at 1.121 states/eV per atom. For the offset from the most stable computed form, the calculation gives 0.000 eV/atom.

---

# 18
VASP calculation (PBE-GGA) on HfAu2I6 after structural relaxation.

POSCAR file:
```
HfAu2I6
1.0
7.625 -8.135 0.000
7.625 8.135 0.000
-0.746 0.000 7.103
Hf Au I
2 4 12
Direct
0.082 0.918 0.750
0.918 0.082 0.250
0.397 0.398 0.717
0.398 0.397 0.217
0.602 0.603 0.783
0.603 0.602 0.283
0.049 0.163 0.602
0.075 0.692 0.870
0.163 0.049 0.102
0.271 0.503 0.464
0.308 0.925 0.630
0.497 0.729 0.036
0.503 0.271 0.964
0.692 0.075 0.370
0.729 0.497 0.536
0.837 0.951 0.898
0.925 0.308 0.130
0.951 0.837 0.398
```

Its spin magnetization is 0.000 μB per cell. The volume comes out at 48.95 Å³/atom. For the formation energy (no corrections), the calculation gives -0.52 eV/atom. Its symmetry is No. 15. The calculation puts the density of states at the Fermi level at 0.000 states/eV per atom.

---

# 19
VASP calculation (PBE-GGA) on PaFe2N after structural relaxation.

POSCAR file:
```
PaFe2N
1.0
1.533 0.885 6.437
-1.533 0.885 6.437
0.000 -1.771 6.437
Pa Fe N
1 2 1
Direct
0.000 0.000 0.000
0.120 0.120 0.120
0.880 0.880 0.880
0.500 0.500 0.500
```

Its spin magnetization is 0.000 μB per cell. The volume comes out at 13.11 Å³/atom. For the formation energy (no corrections), the calculation gives 0.20 eV/atom. Its symmetry is No. 166. The calculation puts the density of states at the Fermi level at 0.596 states/eV per atom.

---

# 20
VASP calculation (PBE-GGA) on Nb2CdW after structural relaxation.

POSCAR file:
```
Nb2CdW
1.0
3.303 0.000 0.000
0.000 3.303 0.000
0.000 0.000 6.768
Nb Cd W
2 1 1
Direct
0.000 0.000 0.222
0.000 0.000 0.778
0.500 0.500 0.500
0.500 0.500 0.000
```

Its spin magnetization is 0.000 μB per cell. The value obtained for the calculated formation energy is 0.13 eV/atom. The volume comes out at 18.45 Å³/atom. Its symmetry is No. 123. The calculation puts the density of states at the Fermi level at 0.481 states/eV per atom.

---

# 21
VASP calculation (PBE-GGA) on RbZrVRe2 after structural relaxation.

POSCAR file:
```
RbZrVRe2
1.0
4.699 0.000 0.000
0.000 4.699 0.000
0.000 0.000 4.740
Rb Zr V Re
1 1 1 2
Direct
0.000 0.000 0.000
0.000 0.000 0.500
0.500 0.500 0.500
0.000 0.500 0.000
0.500 0.000 0.000
```

Its spin magnetization is 0.000 μB per cell. The value obtained for the calculated formation energy is 3.37 eV/atom. The volume comes out at 20.93 Å³/atom. Its symmetry is No. 123. The calculation puts the density of states at the Fermi level at 1.413 states/eV per atom.

---

# 22
VASP calculation (PBE-GGA) on FeBiMo2Ru after structural relaxation.

POSCAR file:
```
FeBiMo2Ru
1.0
5.017 0.000 0.000
0.000 5.017 0.000
0.000 0.000 4.853
Fe Bi Mo Ru
1 1 2 1
Direct
0.000 0.000 0.000
0.500 0.500 0.500
0.000 0.500 0.500
0.500 0.000 0.500
0.500 0.500 0.000
```

Its spin magnetization is 0.783 μB per cell. The value obtained for the calculated formation energy is 2.90 eV/atom. The volume comes out at 24.42 Å³/atom. Its symmetry is No. 123. The calculation puts the density of states at the Fermi level at 2.006 states/eV per atom.

---

# 23
VASP calculation (PBE-GGA) on LiAcGd2 after structural relaxation.

POSCAR file:
```
LiAcGd2
1.0
3.781 0.000 0.000
0.000 3.781 0.000
0.000 0.000 8.941
Li Ac Gd
1 1 2
Direct
0.000 0.000 0.000
0.000 0.000 0.500
0.500 0.500 0.207
0.500 0.500 0.793
```

Its spin magnetization is 15.395 μB per cell. The value obtained for the calculated formation energy is 0.08 eV/atom. The volume comes out at 31.96 Å³/atom. Its symmetry is No. 123. The calculation puts the density of states at the Fermi level at 1.644 states/eV per atom. For the offset from the most stable computed form, the calculation gives 0.000 eV/atom.

---

# 24
VASP calculation (PBE-GGA) on KCuMo2 after structural relaxation.

POSCAR file:
```
KCuMo2
1.0
3.767 0.000 0.000
0.000 3.767 0.000
0.000 0.000 5.355
K Cu Mo
1 1 2
Direct
0.000 0.000 0.000
0.500 0.500 0.000
0.000 0.500 0.500
0.500 0.000 0.500
```

Its spin magnetization is 0.000 μB per cell. The value obtained for the calculated formation energy is 1.40 eV/atom. The volume comes out at 19.00 Å³/atom. Its symmetry is No. 123. The calculation puts the density of states at the Fermi level at 0.739 states/eV per atom. For the offset from the most stable computed form, the calculation gives 0.720 eV/atom.